Entry 1:
SbAsOs | PBE | optimized geometry

```
SbAsOs
1.0
-0.0372 -0.2380 -4.3982
2.3366 -3.1165 -2.0568
-2.0626 -3.3342 -2.0078
Sb As Os
1 1 1
Direct
0.0000 0.0000 0.0000 Sb
0.5000 0.5000 0.5000 As
0.2500 0.2500 0.2500 Os
```

Summary:
- VASP energy: -6.506 eV per atom
- Formation energy from raw total energies: 0.16 eV per atom



Entry 2:
SbAs2Os | PBE | optimized geometry

```
SbAs2Os
1.0
-4.8640 -0.2050 0.4373
-0.4324 -1.4086 4.6605
2.6031 3.7937 -1.6503
Sb As Os
1 2 1
Direct
0.7500 0.2500 0.5000 Sb
0.0000 0.0000 0.0000 As
0.2500 0.7500 0.5000 As
0.5000 0.5000 0.0000 Os
```

Summary:
- VASP energy: -5.532 eV per atom
- Formation energy from raw total energies: 0.63 eV per atom



Entry 3:
SbAsOs | PBE | optimized geometry

```
SbAsOs
1.0
3.4919 0.0000 0.0000
-1.7459 3.0241 0.0000
0.0000 0.0000 5.8588
Sb As Os
1 1 1
Direct
0.3333 0.6667 0.6269 Sb
0.0000 0.0000 0.0631 As
0.6667 0.3333 0.3100 Os
```

Summary:
- VASP energy: -6.383 eV per atom
- Formation energy from raw total energies: 0.28 eV per atom



Entry 4:
SbAs2Os | PBE | optimized geometry

```
SbAs2Os
1.0
-5.1659 1.9664 -2.3627
0.0216 -4.5971 -3.8732
-5.5086 -4.5032 0.6492
Sb As Os
2 4 2
Direct
0.5000 0.5000 0.0000 Sb
0.2500 0.7500 0.5000 Sb
0.6844 0.1250 0.2500 As
0.0656 0.6250 0.2500 As
0.3750 0.3156 0.7500 As
0.8750 0.9344 0.7500 As
0.0000 0.0000 0.0000 Os
0.7500 0.2500 0.5000 Os
```

Summary:
- VASP energy: -5.790 eV per atom
- Formation energy from raw total energies: 0.37 eV per atom



Entry 5:
SbAsOs | PBE | optimized geometry

```
SbAsOs
1.0
4.9652 0.0000 0.0009
0.0000 3.3185 0.0000
-2.2693 0.0000 7.1116
Sb As Os
2 2 2
Direct
0.7308 0.0000 0.7317 Sb
0.1453 0.5000 0.1190 Sb
0.6839 0.0000 0.1979 As
0.1663 0.5000 0.5900 As
0.5906 0.5000 0.4336 Os
0.2991 0.0000 0.8704 Os
```

Summary:
- VASP energy: -6.532 eV per atom
- Formation energy from raw total energies: 0.14 eV per atom



Entry 6:
SbAs3Os | PBE | optimized geometry

```
SbAs3Os
1.0
-0.6779 -4.2644 2.1887
3.5421 -1.9349 -2.6728
3.2293 1.2271 3.3912
Sb As Os
1 3 1
Direct
0.5000 0.5000 0.5000 Sb
0.0000 0.5000 0.0000 As
0.0000 0.0000 0.5000 As
0.5000 0.0000 0.0000 As
0.0000 0.0000 0.0000 Os
```

Summary:
- VASP energy: -5.249 eV per atom
- Formation energy from raw total energies: 0.61 eV per atom



Entry 7:
SbAsOs3 | PBE | optimized geometry

```
SbAsOs3
1.0
-0.3438 -1.3272 4.3805
4.2660 -1.6850 -0.1757
1.6588 4.0581 1.3597
Sb As Os
1 1 3
Direct
0.5000 0.5000 0.5000 Sb
0.0000 0.0000 0.0000 As
0.0000 0.5000 0.0000 Os
0.0000 0.0000 0.5000 Os
0.5000 0.0000 0.0000 Os
```

Summary:
- VASP energy: -6.975 eV per atom
- Formation energy from raw total energies: 1.52 eV per atom



Entry 8:
SbAs2Os | PBE | optimized geometry

```
SbAs2Os
1.0
-2.0641 -3.5801 -4.0287
-1.7357 0.0338 5.5041
-3.8781 0.0938 0.0980
Sb As Os
1 2 1
Direct
0.0000 0.5000 0.5000 Sb
0.0000 0.0000 0.0000 As
0.5000 0.5000 0.0000 As
0.5000 0.0000 0.5000 Os
```

Summary:
- VASP energy: -5.549 eV per atom
- Formation energy from raw total energies: 0.61 eV per atom



Entry 9:
Sb2AsOs | PBE | optimized geometry

```
Sb2AsOs
1.0
-3.4234 -1.7363 3.2682
1.4655 -4.8089 0.3771
2.9240 4.0578 0.6319
Sb As Os
2 1 1
Direct
0.0000 0.0000 0.0000 Sb
0.2500 0.7500 0.5000 Sb
0.5000 0.5000 0.0000 As
0.7500 0.2500 0.5000 Os
```

Summary:
- VASP energy: -5.304 eV per atom
- Formation energy from raw total energies: 0.73 eV per atom



Entry 10:
Sb2AsOs | PBE | optimized geometry

```
Sb2AsOs
1.0
-3.2203 -1.8625 -0.9816
-0.5373 -3.6615 -1.0527
-1.7264 -2.8523 7.0232
Sb As Os
2 1 1
Direct
0.9815 0.9815 0.0333 Sb
0.5185 0.5185 0.4667 Sb
0.7500 0.7500 0.7500 As
0.2500 0.2500 0.2500 Os
```

Summary:
- VASP energy: -5.615 eV per atom
- Formation energy from raw total energies: 0.42 eV per atom



Entry 11:
SbAsOs | PBE | optimized geometry

```
SbAsOs
1.0
5.8345 0.0000 -0.0165
0.0000 3.2578 0.0000
-0.1341 0.0000 6.4657
Sb As Os
2 2 2
Direct
0.2454 0.2500 0.5589 Sb
0.7546 0.7500 0.4411 Sb
0.6941 0.2500 0.9185 As
0.3059 0.7500 0.0815 As
0.0095 0.2500 0.1866 Os
0.9905 0.7500 0.8134 Os
```

Summary:
- VASP energy: -6.621 eV per atom
- Formation energy from raw total energies: 0.05 eV per atom



Entry 12:
SbAsOs | PBE | optimized geometry

```
SbAsOs
1.0
4.1808 0.0005 -0.0004
0.6370 4.8792 0.0011
1.6849 1.8184 5.9182
Sb As Os
2 2 2
Direct
0.2798 0.2587 0.4486 Sb
0.7202 0.7413 0.5514 Sb
0.8917 0.7360 0.0462 As
0.1083 0.2640 0.9538 As
0.3024 0.8357 0.2313 Os
0.6976 0.1643 0.7687 Os
```

Summary:
- VASP energy: -6.586 eV per atom
- Formation energy from raw total energies: 0.08 eV per atom